[1]
ZrCdSnH2 | PBE | optimized geometry

Properties
Theoretical density ... 6.77 Mg/m³
Total magnetic moment ... 0.00 μB per formula unit
DFT total energy ... -4.104 eV per atom
Distance to the lowest polymorph of the same formula ... 212 meV/atom

Cell lengths 3.2027, 5.2140, 5.2230 Å; angles 111.15, 96.74, 96.92 degrees
Element x y z (fractional)
Zr 0.0000 0.0000 0.0000
Cd 0.4976 0.6893 0.3100
Sn 0.9953 0.3613 0.6362
H 0.4341 0.8911 0.7506
H 0.5650 0.2505 0.1023

=====

[2]
ZrCdSnH2 | PBE | optimized geometry

Properties
Theoretical density ... 6.24 Mg/m³
Total magnetic moment ... 0.00 μB per formula unit
DFT total energy ... -4.114 eV per atom
Distance to the lowest polymorph of the same formula ... 201 meV/atom

Cell lengths 4.1229, 3.1301, 6.6917 Å; angles 90.00, 90.00, 90.00 degrees
Element x y z (fractional)
Zr 0.0000 0.0000 0.0000
Cd 0.5015 0.5000 0.7186
Sn 0.5317 0.5000 0.2884
H 0.0005 0.5000 0.7971
H 0.0634 0.5000 0.1856

=====

[3]
ZrCdSnH2 | PBE | optimized geometry

Properties
Theoretical density ... 6.70 Mg/m³
Total magnetic moment ... 0.00 μB per formula unit
DFT total energy ... -4.120 eV per atom
Distance to the lowest polymorph of the same formula ... 195 meV/atom

Cell lengths 8.2705, 8.2705, 3.0722 Å; angles 90.13, 90.13, 22.48 degrees
Element x y z (fractional)
Zr 0.0000 0.0000 0.0000
Cd 0.1719 0.1719 0.5050
Sn 0.8310 0.8310 0.4977
H 0.4299 0.4299 0.9988
H 0.5196 0.5196 0.5000

=====

[4]
ZrCdSnH2 | PBE | optimized geometry

Properties
Theoretical density ... 6.69 Mg/m³
Total magnetic moment ... 0.00 μB per formula unit
DFT total energy ... -4.232 eV per atom
Distance to the lowest polymorph of the same formula ... 83 meV/atom

Cell lengths 3.4951, 3.4951, 7.6132 Å; angles 90.00, 90.00, 120.00 degrees
Element x y z (fractional)
Zr 0.0000 0.0000 0.0000
Cd 0.6667 0.3333 0.3222
Sn 0.6667 0.3333 0.6901
H 0.0000 0.0000 0.2668
H 0.3333 0.6667 0.0458